The following is a GGA-PBE calculation of a relaxed structure of NaHfSb2O8, from Alexandria via LeMat-Bulk.

Cell lengths 6.4977, 6.4977, 6.4977 Å; angles 133.24, 133.24, 68.28 degrees
Fractional coordinates of all 12 atoms:
1 Na 0.0000 0.0000 0.0000
2 Hf 0.2500 0.7500 0.5000
3 Sb 0.5000 0.5000 0.0000
4 Sb 0.7500 0.2500 0.5000
5 O 0.0540 0.0902 0.4717
6 O 0.2168 0.6581 0.0722
7 O 0.3419 0.4141 0.5588
8 O 0.4177 0.9460 0.0362
9 O 0.5859 0.1446 0.9278
10 O 0.6185 0.5823 0.5283
11 O 0.8554 0.7832 0.4412
12 O 0.9098 0.3815 0.9638

Computed properties:
symmetry = I-4
formation energy from raw total energies = -1.720 eV per atom


The following is a GGA-PBE calculation of a relaxed structure of RbNbAl3, from Alexandria via LeMat-Bulk.

Cell lengths 5.2303, 5.2303, 5.2303 Å; angles 90.00, 90.00, 90.00 degrees
Fractional coordinates of all 5 atoms:
1 Rb 0.0000 0.0000 0.0000
2 Nb 0.5000 0.5000 0.5000
3 Al 0.0000 0.5000 0.5000
4 Al 0.5000 0.0000 0.5000
5 Al 0.5000 0.5000 0.0000

Computed properties:
symmetry = Pm-3m
relative energy among the computed polymorphs = 0 meV per atom


The following is a GGA-PBE calculation of a relaxed structure of Tl6Se, from Alexandria via LeMat-Bulk.

Cell lengths 7.4132, 7.4132, 7.4132 Å; angles 109.47, 109.47, 109.47 degrees
Fractional coordinates of all 7 atoms:
1 Tl 0.2500 0.5000 0.7500
2 Tl 0.2500 0.7500 0.5000
3 Tl 0.5000 0.2500 0.7500
4 Tl 0.5000 0.7500 0.2500
5 Tl 0.7500 0.2500 0.5000
6 Tl 0.7500 0.5000 0.2500
7 Se 0.0000 0.0000 0.0000

Computed properties:
symmetry = Im-3m
formation energy from raw total energies = 0.526 eV per atom


Result set for final energy: -79.828, -19.869, -13.997 eV per formula unit, one per record in the order listed.
Result set for density: 6.652, 3.010, 6.911 g cm⁻³, one per record in the order listed.